Compound: CsAlCrF6
Source: Alexandria
Functional: PBE with a Hubbard U
Structure: relaxed

## Properties
Crystal system: orthorhombic
DOS at the Fermi energy in states/eV/f.u.: 0.00
Uncorrected energy in eV per atom: -5.718
Spin magnetization in μB/f.u.: 4.000

a = 7.3295 Å, b = 7.3682 Å, c = 10.4761 Å
α = 90.00°, β = 90.00°, γ = 90.00°
Last column: nearest neighbours and their distance in Å.
Space group Imma (No. 74)
One atom of each set of equivalent atoms:
Cs (0.0000, 0.2500, 0.1131) x4  10 F 3.14-3.50
Al (0.2500, 0.2500, 0.7500) x4  6 F 1.82-1.86
Cr (0.0000, 0.0000, 0.5000) x4  6 F 2.02-2.20
F (0.0000, 0.2500, 0.4205) x4  2 Cr 2.02
F (0.0000, 0.2500, 0.7789) x4  2 Al 1.86
F (0.2252, 0.0753, 0.6287) x16  1 Al 1.82